# 1
First-principles (PBE-GGA) data for a relaxed Mg4MnAg crystal, as listed in Alexandria.

Cell and atoms, written as extended XYZ:
```
6
Lattice="-5.166 -1.477 1.646 -4.407 1.004 -3.338 -2.641 -4.268 -2.527" Properties=species:S:1:pos:R:3 pbc="T T T"
Mg -6.782 -1.278 -3.250
Mg -4.582 -1.779 -1.583
Mg -7.161 -2.516 -0.762
Mg -5.901 -3.910 -2.845
Ag 0.000 0.000 0.000
Mn -9.160 -3.556 -3.165
```

Properties
* ρ: 3.44 g/cm3
* crystal system: cubic
* formation enthalpy at 0 K: 31 kJ per mole of atoms
* energy: -2.744 eV/atom



# 2
First-principles (PBE-GGA) data for a relaxed KSnB crystal, as listed in Alexandria.

Cell and atoms, written as extended XYZ:
```
6
Lattice="-3.655 5.180 3.378 -1.912 -2.224 1.341 7.194 -4.480 2.831" Properties=species:S:1:pos:R:3 pbc="T T T"
B -0.229 1.381 3.870
B -1.203 0.247 4.554
K 2.905 -2.824 3.354
K -0.690 -0.734 1.695
Sn 2.141 0.737 4.290
Sn -1.667 3.108 2.795
```

Properties
* ρ: 3.46 g/cm3
* crystal system: orthorhombic
* formation enthalpy at 0 K: 15 kJ per mole of atoms
* energy: -3.773 eV/atom



# 3
First-principles (PBE-GGA) data for a relaxed RuPbCl2 crystal, as listed in Alexandria.

Cell and atoms, written as extended XYZ:
```
4
Lattice="-3.624 -0.721 -3.772 5.306 0.136 -1.568 1.118 -3.518 -0.679" Properties=species:S:1:pos:R:3 pbc="T T T"
Pb 3.212 -1.691 -1.123
Cl -1.253 -2.119 -2.225
Cl 0.000 0.000 0.000
Ru 0.841 -0.293 -2.670
```

Properties
* ρ: 7.00 g/cm3
* relative energy among the computed polymorphs: 45.11 kJ per mole of atoms
* crystal system: monoclinic
* energy: -3.901 eV/atom